(1)
A relaxed structure of MgTiP2S. Source: the Alexandria database, functional PBEsol.

Geometry as extended XYZ:
```
5
Lattice="4.592 0.000 0.000 0.000 4.690 0.000 0.000 0.000 4.690" Properties=species:S:1:pos:R:3 pbc="T T T"
S 2.296 0.000 0.000
Mg 2.296 2.345 2.345
P 0.000 0.000 2.345
P 0.000 2.345 0.000
Ti 0.000 0.000 0.000
```

Computed properties:
The uncorrected formation energy is -0.8 eV/f.u.

(2)
A relaxed structure of MgP2WS. Source: the Alexandria database, functional PBEsol.

Geometry as extended XYZ:
```
5
Lattice="4.572 0.000 0.000 0.000 4.561 0.000 0.000 0.000 4.561" Properties=species:S:1:pos:R:3 pbc="T T T"
S 2.286 0.000 0.000
W 2.286 2.280 2.280
P 0.000 2.280 0.000
P 0.000 0.000 2.280
Mg 0.000 0.000 0.000
```

Computed properties:
The uncorrected formation energy is 7.5 eV/f.u.

(3)
A relaxed structure of YMgP2S. Source: the Alexandria database, functional PBEsol.

Geometry as extended XYZ:
```
5
Lattice="-3.781 -0.201 3.364 0.730 -5.088 0.517 3.358 0.870 3.827" Properties=species:S:1:pos:R:3 pbc="T T T"
P 1.679 0.435 1.914
P 0.365 -2.544 0.258
Y 0.000 0.000 0.000
S -1.891 -0.100 1.682
Mg 0.153 -2.209 3.854
```

Computed properties:
The uncorrected formation energy is 0.8 eV/f.u.

(4)
A relaxed structure of MgZnPS2. Source: the Alexandria database, functional PBEsol.

Geometry as extended XYZ:
```
5
Lattice="4.391 0.000 0.000 0.000 4.757 0.000 0.000 0.000 4.757" Properties=species:S:1:pos:R:3 pbc="T T T"
S 0.000 2.379 0.000
S 0.000 0.000 2.379
Mg 2.196 2.379 2.379
Zn 0.000 0.000 0.000
P 2.196 0.000 0.000
```

Computed properties:
The uncorrected formation energy is 1.5 eV/f.u.